Computed, not measured: an optimized crystal structure of Cs2NaCdPd at the PBE level of DFT.

Structure (extended XYZ):
```
5
Lattice="6.842 0.000 0.000 0.000 6.842 0.000 0.000 0.000 5.356" Properties=species:S:1:pos:R:3 pbc="T T T"
Cs 0.000 3.421 0.000
Cs 3.421 0.000 0.000
Na 3.421 3.421 2.678
Pd 0.000 0.000 0.000
Cd 0.000 0.000 2.678
```

Summary:
Calculated volume ... 50.14 Å³ per atom
DFT formation energy ... 0.011 eV per atom

***

Computed, not measured: an optimized crystal structure of Cs2NaCdPt at the PBE level of DFT.

Structure (extended XYZ):
```
5
Lattice="-1.740 -6.266 2.111 3.235 -2.711 -5.379 4.461 -0.286 2.827" Properties=species:S:1:pos:R:3 pbc="T T T"
Cs 1.618 -1.355 -2.690
Cs -0.870 -3.133 1.056
Na 2.978 -4.632 -0.220
Pt 0.000 0.000 0.000
Cd 2.230 -0.143 1.413
```

Summary:
Calculated volume ... 49.45 Å³ per atom
Energy above the lowest structure with this stoichiometry ... 0.000 eV per atom
DFT formation energy ... -0.014 eV per atom

***

Computed, not measured: an optimized crystal structure of CsNa2CdPt at the PBE level of DFT.

Structure (extended XYZ):
```
5
Lattice="-0.572 -4.538 3.294 -0.899 -3.194 -4.556 5.340 -0.953 -0.386" Properties=species:S:1:pos:R:3 pbc="T T T"
Cs 1.934 -4.342 -0.824
Na -0.450 -1.597 -2.278
Na -0.286 -2.269 1.647
Pt 0.000 0.000 0.000
Cd 2.670 -0.477 -0.193
```

Summary:
Calculated volume ... 34.55 Å³ per atom
DFT formation energy ... -0.090 eV per atom